{
  "formula": "Hg2RuBr",
  "functional": "GGA-PBE",
  "state": "relaxed",
  "raw_formation_energy_ev_per_atom": 0.567,
  "total_magnetization_mub_per_fu": 1.368,
  "dft_energy_ev_per_fu": -9.3,
  "de_polymorph_mev_per_atom": 286,
  "volume_a3_per_atom": 23.43,
  "lattice": [[3.7077, 0.0000, 0.0000], [0.0000, 3.7077, 0.0000], [0.0000, 0.0000, 6.8173]],
  "species": ["Hg", "Hg", "Ru", "Br"],
  "fractional_positions": [[0.0000, 0.0000, 0.0000], [0.5000, 0.5000, 0.2776], [0.0000, 0.0000, 0.4046], [0.5000, 0.5000, 0.7240]]
}

***

{
  "formula": "Hg2RuBr",
  "functional": "GGA-PBE",
  "state": "relaxed",
  "raw_formation_energy_ev_per_atom": 0.462,
  "total_magnetization_mub_per_fu": 1.509,
  "dft_energy_ev_per_fu": -9.7,
  "de_polymorph_mev_per_atom": 181,
  "volume_a3_per_atom": 22.77,
  "lattice": [[3.5204, 0.0000, 0.0000], [-1.7602, 3.0487, 0.0000], [0.0000, 0.0000, 25.4575]],
  "species": ["Hg", "Hg", "Hg", "Hg", "Hg", "Hg", "Ru", "Ru", "Ru", "Br", "Br", "Br"],
  "fractional_positions": [[0.0000, 0.0000, 0.2426], [0.0000, 0.0000, 0.7574], [0.3333, 0.6667, 0.4241], [0.3333, 0.6667, 0.9092], [0.6667, 0.3333, 0.0908], [0.6667, 0.3333, 0.5759], [0.0000, 0.0000, 0.5000], [0.3333, 0.6667, 0.1667], [0.6667, 0.3333, 0.8333], [0.0000, 0.0000, 0.0000], [0.3333, 0.6667, 0.6667], [0.6667, 0.3333, 0.3333]]
}

***

{
  "formula": "HgRuBr",
  "functional": "GGA-PBE",
  "state": "relaxed",
  "raw_formation_energy_ev_per_atom": 0.478,
  "total_magnetization_mub_per_fu": 0.309,
  "dft_energy_ev_per_fu": -9.8,
  "de_polymorph_mev_per_atom": 0,
  "volume_a3_per_atom": 21.93,
  "lattice": [[3.4490, 0.0000, 0.0000], [-1.7245, 2.9869, 0.0000], [0.0000, 0.0000, 6.3859]],
  "species": ["Hg", "Ru", "Br"],
  "fractional_positions": [[0.0000, 0.0000, 0.0000], [0.6667, 0.3333, 0.3184], [0.3333, 0.6667, 0.5488]]
}

***

{
  "formula": "HgRu2Br",
  "functional": "GGA-PBE",
  "state": "relaxed",
  "raw_formation_energy_ev_per_atom": 1.117,
  "total_magnetization_mub_per_fu": 0.000,
  "dft_energy_ev_per_fu": -16.1,
  "de_polymorph_mev_per_atom": 744,
  "volume_a3_per_atom": 18.82,
  "lattice": [[7.0759, 0.0000, 0.0000], [0.0000, 7.0759, 0.0000], [0.0000, 0.0000, 6.0127]],
  "species": ["Hg", "Hg", "Hg", "Hg", "Ru", "Ru", "Ru", "Ru", "Ru", "Ru", "Ru", "Ru", "Br", "Br", "Br", "Br"],
  "fractional_positions": [[0.0000, 0.0000, 0.0000], [0.0000, 0.5000, 0.2500], [0.5000, 0.0000, 0.7500], [0.5000, 0.5000, 0.5000], [0.2016, 0.2500, 0.6250], [0.2500, 0.7016, 0.8750], [0.2500, 0.7984, 0.3750], [0.2984, 0.2500, 0.1250], [0.7016, 0.7500, 0.1250], [0.7500, 0.2016, 0.3750], [0.7500, 0.2984, 0.8750], [0.7984, 0.7500, 0.6250], [0.0000, 0.0000, 0.5000], [0.0000, 0.5000, 0.7500], [0.5000, 0.0000, 0.2500], [0.5000, 0.5000, 0.0000]]
}

***

{
  "formula": "Hg2RuBr",
  "functional": "GGA-PBE",
  "state": "relaxed",
  "raw_formation_energy_ev_per_atom": 0.297,
  "total_magnetization_mub_per_fu": 0.000,
  "dft_energy_ev_per_fu": -10.4,
  "de_polymorph_mev_per_atom": 16,
  "volume_a3_per_atom": 24.82,
  "lattice": [[4.5593, 0.0000, 0.0000], [0.0000, 3.1373, 0.0000], [-2.2719, 0.0000, 6.9397]],
  "species": ["Hg", "Hg", "Ru", "Br"],
  "fractional_positions": [[0.0000, 0.0000, 0.0000], [0.3429, 0.5000, 0.6808], [0.8045, 0.0000, 0.6037], [0.6651, 0.5000, 0.3229]]
}

***

{
  "formula": "HgRu2Br",
  "functional": "GGA-PBE",
  "state": "relaxed",
  "raw_formation_energy_ev_per_atom": 0.373,
  "total_magnetization_mub_per_fu": 0.003,
  "dft_energy_ev_per_fu": -19.0,
  "de_polymorph_mev_per_atom": 0,
  "volume_a3_per_atom": 19.30,
  "lattice": [[3.0256, 0.0000, 0.0000], [0.0000, 2.9917, 0.0000], [-1.4137, 0.0000, 8.5266]],
  "species": ["Hg", "Ru", "Ru", "Br"],
  "fractional_positions": [[0.0000, 0.0000, 0.0000], [0.3892, 0.5000, 0.7659], [0.8057, 0.0000, 0.5876], [0.6924, 0.5000, 0.3459]]
}

***

{
  "formula": "HgRu2Br",
  "functional": "GGA-PBE",
  "state": "relaxed",
  "raw_formation_energy_ev_per_atom": 0.689,
  "total_magnetization_mub_per_fu": 0.000,
  "dft_energy_ev_per_fu": -17.8,
  "de_polymorph_mev_per_atom": 316,
  "volume_a3_per_atom": 20.45,
  "lattice": [[10.9578, 0.0000, 0.0000], [0.0000, 2.9704, 0.0000], [-0.5931, 0.0000, 5.0261]],
  "species": ["Hg", "Hg", "Ru", "Ru", "Ru", "Ru", "Br", "Br"],
  "fractional_positions": [[0.0000, 0.0000, 0.0000], [0.5000, 0.5000, 0.0000], [0.1176, 0.0000, 0.5191], [0.4218, 0.0000, 0.5339], [0.6176, 0.5000, 0.5191], [0.9218, 0.5000, 0.5339], [0.2586, 0.5000, 0.2908], [0.7586, 0.0000, 0.2908]]
}

***

{
  "formula": "HgRu2Br",
  "functional": "GGA-PBE",
  "state": "relaxed",
  "raw_formation_energy_ev_per_atom": 0.759,
  "total_magnetization_mub_per_fu": 0.002,
  "dft_energy_ev_per_fu": -17.5,
  "de_polymorph_mev_per_atom": 387,
  "volume_a3_per_atom": 17.02,
  "lattice": [[3.0312, 0.0000, 0.0000], [-1.5156, 2.6251, 0.0000], [0.0000, 0.0000, 25.6604]],
  "species": ["Hg", "Hg", "Hg", "Ru", "Ru", "Ru", "Ru", "Ru", "Ru", "Br", "Br", "Br"],
  "fractional_positions": [[0.0000, 0.0000, 0.0000], [0.3333, 0.6667, 0.6667], [0.6667, 0.3333, 0.3333], [0.0000, 0.0000, 0.2447], [0.0000, 0.0000, 0.7553], [0.3333, 0.6667, 0.4220], [0.3333, 0.6667, 0.9114], [0.6667, 0.3333, 0.0886], [0.6667, 0.3333, 0.5780], [0.0000, 0.0000, 0.5000], [0.3333, 0.6667, 0.1667], [0.6667, 0.3333, 0.8333]]
}

***

{
  "formula": "Hg2RuBr",
  "functional": "GGA-PBE",
  "state": "relaxed",
  "raw_formation_energy_ev_per_atom": 0.281,
  "total_magnetization_mub_per_fu": 0.000,
  "dft_energy_ev_per_fu": -10.4,
  "de_polymorph_mev_per_atom": 0,
  "volume_a3_per_atom": 26.64,
  "lattice": [[10.2640, 0.0000, 0.0000], [0.0000, 3.1876, 0.0000], [-1.8238, 0.0000, 6.5135]],
  "species": ["Hg", "Hg", "Hg", "Hg", "Ru", "Ru", "Br", "Br"],
  "fractional_positions": [[0.0000, 0.0000, 0.0000], [0.2174, 0.0000, 0.7185], [0.5000, 0.5000, 0.0000], [0.7174, 0.5000, 0.7185], [0.2425, 0.5000, 0.0601], [0.7425, 0.0000, 0.0601], [0.3214, 0.0000, 0.3457], [0.8214, 0.5000, 0.3457]]
}

***

{
  "formula": "Hg2RuBr",
  "functional": "GGA-PBE",
  "state": "relaxed",
  "raw_formation_energy_ev_per_atom": 0.455,
  "total_magnetization_mub_per_fu": 1.559,
  "dft_energy_ev_per_fu": -9.7,
  "de_polymorph_mev_per_atom": 174,
  "volume_a3_per_atom": 23.16,
  "lattice": [[3.1757, 0.0000, 0.0000], [0.0000, 3.1757, 0.0000], [0.0000, 0.0000, 9.1857]],
  "species": ["Hg", "Hg", "Ru", "Br"],
  "fractional_positions": [[0.0000, 0.0000, 0.0000], [0.5000, 0.5000, 0.2837], [0.0000, 0.0000, 0.4888], [0.5000, 0.5000, 0.6518]]
}

***

{
  "formula": "HgRu2Br",
  "functional": "GGA-PBE",
  "state": "relaxed",
  "raw_formation_energy_ev_per_atom": 0.980,
  "total_magnetization_mub_per_fu": 1.268,
  "dft_energy_ev_per_fu": -16.6,
  "de_polymorph_mev_per_atom": 607,
  "volume_a3_per_atom": 18.07,
  "lattice": [[2.9678, 0.0000, 0.0000], [0.0000, 4.6576, 0.0000], [0.0000, 0.0000, 5.2295]],
  "species": ["Hg", "Ru", "Ru", "Br"],
  "fractional_positions": [[0.0000, 0.0000, 0.0000], [0.0000, 0.5000, 0.5000], [0.5000, 0.5000, 0.0000], [0.5000, 0.0000, 0.5000]]
}

***

{
  "formula": "Hg2RuBr",
  "functional": "GGA-PBE",
  "state": "relaxed",
  "raw_formation_energy_ev_per_atom": 0.728,
  "total_magnetization_mub_per_fu": 1.080,
  "dft_energy_ev_per_fu": -8.6,
  "de_polymorph_mev_per_atom": 447,
  "volume_a3_per_atom": 21.04,
  "lattice": [[4.3139, 0.0000, 0.0000], [0.0000, 4.3139, 0.0000], [0.0000, 0.0000, 9.0445]],
  "species": ["Hg", "Hg", "Hg", "Hg", "Ru", "Ru", "Br", "Br"],
  "fractional_positions": [[0.0000, 0.0000, 0.0000], [0.0000, 0.5000, 0.2500], [0.5000, 0.0000, 0.7500], [0.5000, 0.5000, 0.5000], [0.0000, 0.5000, 0.7500], [0.5000, 0.0000, 0.2500], [0.0000, 0.0000, 0.5000], [0.5000, 0.5000, 0.0000]]
}